Entry from the Alexandria database: SrScHg2 after structural relaxation (PBE-GGA).

total energy = -2.425 eV per atom
size of the total moment = 0.000 μB/f.u.

Cell lengths 8.909, 8.909, 8.909 Å; angles 25.75, 25.75, 25.75 degrees
Element x y z (fractional)
Sr  0.000  0.000  0.000
Sc  0.500  0.500  0.500
Hg  0.238  0.238  0.238
Hg  0.762  0.762  0.762